[1]
A plane-wave DFT calculation with GGA-PBEsol was carried out for a relaxed MgTlPb crystal.

Computed properties:
- Fermi-level density of states (states/eV/f.u.) = 1.3
- magnetic moment (μB per formula unit) = 0.000
- energy of formation (eV per atom) = 0.00
- mass density (g/cm³) = 8.9
- energy above the most stable polymorph in this dataset (meV/atom) = 41
- crystal system = orthorhombic

abc: 3.4406 5.7978 16.2394
angles: 90.00 90.00 90.00
Space group Fmm2 (No. 42)
One atom of each set of equivalent atoms:
Mg1 0.0000 0.0000 0.0000
Tl1 0.0000 0.0000 0.3412
Pb1 0.0000 0.0000 0.6617

***

[2]
A plane-wave DFT calculation with GGA-PBEsol was carried out for a relaxed MgTlPb crystal.

Computed properties:
- Fermi-level density of states (states/eV/f.u.) = 1.4
- magnetic moment (μB per formula unit) = 0.000
- energy of formation (eV per atom) = -0.04
- mass density (g/cm³) = 9.1
- energy above the most stable polymorph in this dataset (meV/atom) = 0
- crystal system = tetragonal

abc: 3.4348 3.4348 13.4229
angles: 90.00 90.00 90.00
Space group I4mm (No. 107)
One atom of each set of equivalent atoms:
Mg1 0.0000 0.0000 0.0000
Tl1 0.0000 0.0000 0.3429
Pb1 0.0000 0.0000 0.6585

***

[3]
A plane-wave DFT calculation with GGA-PBEsol was carried out for a relaxed MgTl2Pb crystal.

Computed properties:
- Fermi-level density of states (states/eV/f.u.) = 1.9
- magnetic moment (μB per formula unit) = 0.000
- energy of formation (eV per atom) = -0.01
- mass density (g/cm³) = 9.9
- crystal system = orthorhombic

abc: 3.6871 5.3978 10.8257
angles: 90.00 90.00 90.00
Space group Imm2 (No. 44)
One atom of each set of equivalent atoms:
Mg1 0.0000 0.0000 0.0000
Tl1 0.0000 0.0000 0.5056
Tl2 0.0000 0.5000 0.2672
Pb1 0.0000 0.5000 0.7379

***

[4]
A plane-wave DFT calculation with GGA-PBEsol was carried out for a relaxed MgTl2Pb crystal.

Computed properties:
- Fermi-level density of states (states/eV/f.u.) = 0.9
- magnetic moment (μB per formula unit) = 0.000
- energy of formation (eV per atom) = 0.00
- mass density (g/cm³) = 9.8
- crystal system = cubic

abc: 7.5828 7.5828 7.5828
angles: 90.00 90.00 90.00
Space group F-43m (No. 216)
One atom of each set of equivalent atoms:
Mg1 0.0000 0.0000 0.0000
Tl1 0.0000 0.0000 0.5000
Tl2 0.2500 0.2500 0.2500
Pb1 0.2500 0.2500 0.7500

***

Question: mass density of number 1 (MgTlPb)?
Answer: 8.9 g/cm³

***

Question: What is the energy of formation in the first record?
Answer: 0.00 eV per atom

***

Please write out number 2 again, unchanged.
A plane-wave DFT calculation with GGA-PBEsol was carried out for a relaxed MgTlPb crystal.

Computed properties:
- Fermi-level density of states (states/eV/f.u.) = 1.4
- magnetic moment (μB per formula unit) = 0.000
- energy of formation (eV per atom) = -0.04
- mass density (g/cm³) = 9.1
- energy above the most stable polymorph in this dataset (meV/atom) = 0
- crystal system = tetragonal

abc: 3.4348 3.4348 13.4229
angles: 90.00 90.00 90.00
Space group I4mm (No. 107)
One atom of each set of equivalent atoms:
Mg1 0.0000 0.0000 0.0000
Tl1 0.0000 0.0000 0.3429
Pb1 0.0000 0.0000 0.6585

***

Question: Which of these has the highest Fermi-level density of states?
Answer: number 3